Entry 1:
NaAc6CoRh after structural relaxation, computed with PBE.

Output
For the density of states at the Fermi level, the calculation gives 8.02 states/eV/f.u. For the formation energy, the calculation gives -65 meV/atom. Its total moment is 0.00 μB/atom. Its volume is 42.4 Å³/atom.

a b c (Å): 7.4816 7.4816 7.8735
angles (deg): 90.00 90.00 120.00
Space group P312 (No. 149)
Asymmetric unit:
Na 0.0000 0.0000 0.0000 x1
Ac 0.3604 0.0087 0.7058 x6
Co 0.6667 0.3333 0.5000 x1
Rh 0.3333 0.6667 0.5000 x1



Entry 2:
AcNb2Co after structural relaxation, computed with PBE.

Output
For the density of states at the Fermi level, the calculation gives 4.14 states/eV/f.u. For the formation energy, the calculation gives 660 meV/atom. Its total moment is 0.00 μB/atom. Its volume is 25.2 Å³/atom.

a b c (Å): 3.6310 3.6310 26.4970
angles (deg): 90.00 90.00 120.00
Space group R-3m (No. 166, hexagonal axes)
Asymmetric unit:
Ac 0.0000 0.0000 0.0000 x3
Nb 0.0000 0.0000 0.1224 x6
Co 0.0000 0.0000 0.5000 x3